(1)
A plane-wave DFT calculation with GGA-PBE was carried out for Pm2Y8Er after structural relaxation.

## Properties
* symmetry: C2/m, No. 12

POSCAR file:
```
Pm2Y8Er
1.0
5.687 1.606 0.000
2.558 8.699 0.000
1.279 4.349 8.026
Pm Y Er
2 8 1
Direct
0.000 0.306 0.387 Pm
0.000 0.694 0.613 Pm
0.833 0.098 0.230 Y
0.833 0.328 0.770 Y
0.297 0.422 0.000 Y
0.500 0.792 0.416 Y
0.500 0.208 0.584 Y
0.703 0.578 0.000 Y
0.167 0.672 0.230 Y
0.167 0.902 0.770 Y
0.500 0.000 0.000 Er
```

(2)
A plane-wave DFT calculation with GGA-PBE was carried out for Pm3Y2Er3 after structural relaxation.

## Properties
* energy above the most stable polymorph in this dataset: 0.0 meV per atom
* symmetry: Pmmn, No. 59

POSCAR file:
```
Pm3Y2Er3
1.0
-1.546 5.938 -1.431
-0.710 -7.715 -3.498
-12.923 -1.784 6.559
Pm Y Er
6 4 6
Direct
0.922 0.750 0.375 Pm
0.078 0.250 0.875 Pm
0.922 0.750 0.125 Pm
0.078 0.250 0.625 Pm
0.590 0.250 0.250 Pm
0.410 0.750 0.750 Pm
0.914 0.750 0.877 Y
0.086 0.250 0.377 Y
0.914 0.750 0.623 Y
0.086 0.250 0.123 Y
0.584 0.250 0.501 Er
0.416 0.750 0.001 Er
0.584 0.250 0.999 Er
0.416 0.750 0.499 Er
0.422 0.750 0.250 Er
0.578 0.250 0.750 Er
```

(3)
A plane-wave DFT calculation with GGA-PBE was carried out for PmY4Er after structural relaxation.

## Properties
* energy above the most stable polymorph in this dataset: 126.4 meV per atom
* symmetry: Pmmm, No. 47

POSCAR file:
```
PmY4Er
1.0
-2.922 -1.000 -1.547
0.025 -4.950 3.151
-5.275 4.477 7.074
Pm Y Er
1 4 1
Direct
0.997 0.001 0.502 Pm
0.997 0.501 0.690 Y
0.997 0.501 0.313 Y
0.497 0.001 0.186 Y
0.497 0.001 0.817 Y
0.497 0.501 0.002 Er
```

(4)
A plane-wave DFT calculation with GGA-PBE was carried out for Pm9YEr2 after structural relaxation.

## Properties
* symmetry: P4/mmm, No. 123

POSCAR file:
```
Pm9YEr2
1.0
5.124 0.000 0.000
0.000 5.124 0.000
0.000 0.000 15.371
Pm Y Er
9 1 2
Direct
0.500 0.500 0.000 Pm
0.500 0.500 0.334 Pm
0.500 0.500 0.666 Pm
0.500 0.000 0.168 Pm
0.500 0.000 0.500 Pm
0.500 0.000 0.832 Pm
0.000 0.500 0.168 Pm
0.000 0.500 0.500 Pm
0.000 0.500 0.832 Pm
0.000 0.000 0.000 Y
0.000 0.000 0.334 Er
0.000 0.000 0.666 Er
```

(5)
A plane-wave DFT calculation with GGA-PBE was carried out for Pm2Y5Er3 after structural relaxation.

## Properties
* energy above the most stable polymorph in this dataset: 234.5 meV per atom
* symmetry: Ibam, No. 72

POSCAR file:
```
Pm2Y5Er3
1.0
6.797 0.000 0.000
3.399 11.519 2.916
3.399 5.868 10.332
Pm Y Er
4 10 6
Direct
0.121 0.779 0.980 Pm
0.879 0.221 0.020 Pm
0.621 0.980 0.779 Pm
0.379 0.020 0.221 Pm
0.250 0.500 0.500 Y
0.750 0.500 0.500 Y
0.497 0.753 0.753 Y
0.003 0.247 0.247 Y
0.503 0.247 0.247 Y
0.997 0.753 0.753 Y
0.128 0.463 0.282 Y
0.872 0.537 0.718 Y
0.628 0.282 0.463 Y
0.372 0.718 0.537 Y
0.250 0.000 0.000 Er
0.750 0.000 0.000 Er
0.377 0.372 0.874 Er
0.623 0.628 0.126 Er
0.877 0.874 0.372 Er
0.123 0.126 0.628 Er
```

(6)
A plane-wave DFT calculation with GGA-PBE was carried out for Pm2Y8Er3 after structural relaxation.

## Properties
* energy above the most stable polymorph in this dataset: 0.0 meV per atom
* symmetry: Pbam, No. 55

POSCAR file:
```
Pm2Y8Er3
1.0
3.523 0.000 0.000
0.000 11.733 0.000
0.000 0.000 20.692
Pm Y Er
4 16 6
Direct
0.500 0.821 0.099 Pm
0.500 0.179 0.901 Pm
0.500 0.321 0.401 Pm
0.500 0.679 0.599 Pm
0.000 0.709 0.948 Y
0.000 0.291 0.052 Y
0.000 0.209 0.552 Y
0.000 0.791 0.448 Y
0.000 0.054 0.159 Y
0.000 0.946 0.841 Y
0.000 0.554 0.341 Y
0.000 0.446 0.659 Y
0.500 0.871 0.286 Y
0.500 0.129 0.714 Y
0.500 0.371 0.214 Y
0.500 0.629 0.786 Y
0.500 0.546 0.072 Y
0.500 0.454 0.928 Y
0.500 0.046 0.428 Y
0.500 0.954 0.572 Y
0.000 0.000 0.000 Er
0.000 0.500 0.500 Er
0.000 0.646 0.201 Er
0.000 0.354 0.799 Er
0.000 0.146 0.299 Er
0.000 0.854 0.701 Er
```

(7)
A plane-wave DFT calculation with GGA-PBE was carried out for Pm2Y12Er after structural relaxation.

## Properties
* symmetry: P4/nbm, No. 125

POSCAR file:
```
Pm2Y12Er
1.0
-4.783 4.266 1.030
-4.344 -4.819 -0.215
2.388 -3.246 24.524
Pm Y Er
4 24 2
Direct
0.500 0.000 0.261 Pm
0.000 0.500 0.261 Pm
0.000 0.500 0.739 Pm
0.500 0.000 0.739 Pm
0.500 0.500 0.788 Y
0.000 0.000 0.788 Y
0.750 0.750 0.889 Y
0.250 0.750 0.889 Y
0.000 0.000 0.337 Y
0.250 0.750 0.111 Y
0.831 0.331 0.562 Y
0.500 0.500 0.337 Y
0.250 0.250 0.889 Y
0.750 0.750 0.111 Y
0.331 0.169 0.562 Y
0.669 0.169 0.438 Y
0.000 0.000 0.663 Y
0.169 0.331 0.438 Y
0.250 0.250 0.111 Y
0.831 0.669 0.438 Y
0.669 0.831 0.562 Y
0.000 0.000 0.212 Y
0.169 0.669 0.562 Y
0.500 0.500 0.663 Y
0.750 0.250 0.889 Y
0.500 0.500 0.212 Y
0.331 0.831 0.438 Y
0.750 0.250 0.111 Y
0.500 0.000 0.000 Er
0.000 0.500 0.000 Er
```

(8)
A plane-wave DFT calculation with GGA-PBE was carried out for Pm8Y6Er after structural relaxation.

## Properties
* energy above the most stable polymorph in this dataset: 0.0 meV per atom
* symmetry: R-3, No. 148

POSCAR file:
```
Pm8Y6Er
1.0
-3.734 3.332 -7.661
-8.997 1.630 -0.371
-3.163 8.142 -0.383
Pm Y Er
8 6 1
Direct
0.249 0.283 0.580 Pm
0.717 0.112 0.420 Pm
0.112 0.751 0.420 Pm
0.577 0.577 0.268 Pm
0.423 0.423 0.732 Pm
0.888 0.249 0.580 Pm
0.283 0.888 0.580 Pm
0.751 0.717 0.420 Pm
0.460 0.903 0.882 Y
0.097 0.245 0.118 Y
0.245 0.540 0.118 Y
0.755 0.460 0.882 Y
0.903 0.755 0.882 Y
0.540 0.097 0.118 Y
0.000 0.000 0.000 Er
```

(9)
A plane-wave DFT calculation with GGA-PBE was carried out for Pm4Y2Er after structural relaxation.

## Properties
* energy above the most stable polymorph in this dataset: 0.0 meV per atom
* symmetry: Fdd2, No. 43

POSCAR file:
```
Pm4Y2Er
1.0
-11.914 -2.833 2.757
8.799 3.021 -8.426
2.741 -5.898 1.990
Pm Y Er
8 4 2
Direct
0.709 0.173 0.861 Pm
0.173 0.709 0.361 Pm
0.185 0.795 0.895 Pm
0.795 0.185 0.395 Pm
0.041 0.150 0.605 Pm
0.562 0.599 0.140 Pm
0.599 0.562 0.640 Pm
0.150 0.041 0.105 Pm
0.621 0.301 0.449 Y
0.921 0.102 0.051 Y
0.102 0.921 0.551 Y
0.301 0.621 0.949 Y
0.426 0.676 0.500 Er
0.676 0.426 0.000 Er
```

(10)
A plane-wave DFT calculation with GGA-PBE was carried out for Pm4Y3Er4 after structural relaxation.

## Properties
* energy above the most stable polymorph in this dataset: 0.0 meV per atom
* symmetry: Immm, No. 71

POSCAR file:
```
Pm4Y3Er4
1.0
-0.962 0.237 3.451
-1.328 -5.433 0.003
15.636 -6.700 6.686
Pm Y Er
4 3 4
Direct
0.552 0.552 0.896 Pm
0.448 0.448 0.104 Pm
0.322 0.823 0.355 Pm
0.678 0.177 0.645 Pm
0.146 0.646 0.708 Y
0.854 0.354 0.292 Y
0.000 0.000 0.000 Y
0.092 0.092 0.815 Er
0.265 0.265 0.470 Er
0.735 0.735 0.530 Er
0.908 0.908 0.185 Er
```

(11)
A plane-wave DFT calculation with GGA-PBE was carried out for Pm4YEr after structural relaxation.

## Properties
* energy above the most stable polymorph in this dataset: 141.0 meV per atom
* symmetry: F-43m, No. 216

POSCAR file:
```
Pm4YEr
1.0
6.654 0.000 0.000
3.327 5.763 0.000
3.327 1.921 5.433
Y Pm Er
1 4 1
Direct
0.250 0.250 0.250 Y
0.625 0.625 0.125 Pm
0.625 0.125 0.625 Pm
0.625 0.625 0.625 Pm
0.125 0.625 0.625 Pm
0.000 0.000 0.000 Er
```

(12)
A plane-wave DFT calculation with GGA-PBE was carried out for Pm8YEr4 after structural relaxation.

## Properties
* symmetry: R-3m, No. 166

POSCAR file:
```
Pm8YEr4
1.0
-2.297 -0.455 -6.876
6.889 1.817 1.415
1.709 -9.511 3.895
Pm Y Er
8 1 4
Direct
0.574 0.787 0.361 Pm
0.426 0.213 0.639 Pm
0.496 0.248 0.292 Pm
0.956 0.204 0.708 Pm
0.504 0.752 0.708 Pm
0.956 0.752 0.708 Pm
0.044 0.248 0.292 Pm
0.044 0.796 0.292 Pm
0.000 0.500 0.500 Y
0.000 0.000 0.000 Er
0.000 0.500 0.000 Er
0.500 0.500 0.000 Er
0.500 0.000 0.000 Er
```

no.,energy relative to the elements (meV per atom)
1,157
2,17
3,195
4,16
5,422
6,145
7,386
8,114
9,53
10,32
11,248
12,201